Record 1
Compound: Ce2MnHg
Source: the Alexandria database
Functional: GGA-PBE
Structure: optimized geometry

Summary:
For the energy of formation, the calculation gives -0.0325 eV per atom. The calculated volume is 22.36 A^3/atom. The calculation puts the density of states at the Fermi level at 8.065 states/eV/cell.

abc: 3.2429 3.2429 8.5030
angles: 90.00 90.00 90.00
Space group P4/mmm (No. 123)
One atom of each set of equivalent atoms:
Ce  0.0000  0.0000  0.2001 [2 per cell]
Mn  0.5000  0.5000  0.0000 [1 per cell]
Hg  0.5000  0.5000  0.5000 [1 per cell]

---

Record 2
Compound: CePuMnHg
Source: the Alexandria database
Functional: GGA-PBE
Structure: optimized geometry

Summary:
For the energy of formation, the calculation gives 0.1697 eV per atom. The calculated volume is 21.70 A^3/atom. The calculation puts the density of states at the Fermi level at 41.125 states/eV/cell.

abc: 7.0288 7.0288 7.0288
angles: 90.00 90.00 90.00
Space group F-43m (No. 216)
One atom of each set of equivalent atoms:
Ce  0.0000  0.0000  0.0000 [4 per cell]
Pu  0.2500  0.2500  0.7500 [4 per cell]
Mn  0.0000  0.0000  0.5000 [4 per cell]
Hg  0.2500  0.2500  0.2500 [4 per cell]

---

Record 3
Compound: CeTh5MnHg2
Source: the Alexandria database
Functional: GGA-PBE
Structure: optimized geometry

Summary:
For the energy of formation, the calculation gives 0.0656 eV per atom. The calculated volume is 27.97 A^3/atom. The calculation puts the density of states at the Fermi level at 47.061 states/eV/cell.

abc: 5.0128 16.8986 11.8858
angles: 90.00 90.00 90.00
Space group Cmc2_1 (No. 36)
One atom of each set of equivalent atoms:
Ce  0.0000  0.0799  0.0000 [4 per cell]
Th  0.0000  0.0491  0.3153 [4 per cell]
Th  0.0000  0.1200  0.6208 [4 per cell]
Th  0.0000  0.2376  0.1958 [4 per cell]
Th  0.0000  0.2674  0.8986 [4 per cell]
Th  0.0000  0.3997  0.6542 [4 per cell]
Mn  0.0000  0.2636  0.5590 [4 per cell]
Hg  0.0000  0.3969  0.3320 [4 per cell]
Hg  0.0000  0.4493  0.9783 [4 per cell]

---

Record 4
Compound: Ce4Hg5N
Source: the Alexandria database
Functional: GGA-PBE
Structure: optimized geometry

Summary:
The formation energy (no corrections) comes out at -0.48 eV/atom. The calculated volume is 24.81 A^3/atom. The calculation puts the density of states at the Fermi level at 47.169 states/eV/cell.

abc: 16.2768 3.9201 7.9951
angles: 90.00 103.46 90.00
Space group C2/m (No. 12)
One atom of each set of equivalent atoms:
Ce  0.0540  0.0000  0.3432 [4 per cell]
Ce  0.1273  0.5000  0.7115 [4 per cell]
Hg  0.0000  0.5000  0.0000 [2 per cell]
Hg  0.1701  0.0000  0.0419 [4 per cell]
Hg  0.2172  0.5000  0.3562 [4 per cell]
N  0.0000  0.5000  0.5000 [2 per cell]

---

Question: The highest calculated volume belongs to which entry?
Answer: CeTh5MnHg2

---

Question: Which of these has the lowest calculated volume?
Answer: CePuMnHg

---

Question: Number 3 is which compound?
Answer: CeTh5MnHg2

---

Question: What is the calculated volume in the first record?
Answer: 22.36 A^3/atom